A plane-wave DFT calculation with PBE was carried out for crystalline SmScC at its relaxed geometry.

The calculation puts the formation energy at -293 meV per atom. The value obtained for the calculated total energy is -21.2 eV per formula unit. For the energy above the most stable polymorph in this dataset, the calculation gives 0 meV per atom.

The structure belongs to space group Pmmn (No. 59, origin choice 2); the cell edges are 3.5266, 4.6325 and 7.9451 Å and the angles 90.00°, 90.00° and 90.00°. The inequivalent atoms are Sm at (0.2500, 0.2500, 0.1699), Sc at (0.2500, 0.2500, 0.5795) and C at (0.2500, 0.7500, 0.6132).